1.
This record from Alexandria describes Rb3SiS4 after structural relaxation. The functional is PBE.

The space group is Pnma (No. 62) and the conventional cell measures 9.528, 11.249 and 9.572 Å, with angles of 90.00, 90.00 and 90.00 degrees. The distinct sites, in fractional coordinates, are Rb at (0.040, 0.045, 0.207), Rb at (0.149, 0.750, 0.417), Si at (0.222, 0.750, 0.986), S at (0.017, 0.750, 0.076), S at (0.171, 0.092, 0.549) and S at (0.212, 0.750, 0.764).

The value obtained for the uncorrected energy is -4.101 eV per atom. Its calculated density is 2.67 Mg/m³. The calculation puts the total moment at 4.42 μB per cell. As for the crystal system: orthorhombic.

2.
This record from Alexandria describes Rb3SiS3 after structural relaxation. The functional is PBE.

The space group is Cmcm (No. 63) and the conventional cell measures 9.828, 16.970 and 6.621 Å, with angles of 90.00, 90.00 and 90.00 degrees. The distinct sites, in fractional coordinates, are Rb at (0.000, 0.185, 0.250), Rb at (0.221, 0.407, 0.250), Si at (0.000, 0.333, 0.750), S at (0.000, 0.209, 0.750) and S at (0.185, 0.395, 0.750).

The value obtained for the uncorrected energy is -3.815 eV per atom. For the energy relative to the lowest polymorph listed for this composition, the calculation gives 34 meV/atom. Its calculated density is 2.29 Mg/m³. The calculation puts the total moment at 2.97 μB per cell. As for the crystal system: orthorhombic.

3.
This record from Alexandria describes RbSmSiS4 after structural relaxation. The functional is PBE.

The space group is P2_1/m (No. 11) and the conventional cell measures 6.503, 6.677 and 9.114 Å, with angles of 90.00, 107.63 and 90.00 degrees. The distinct sites, in fractional coordinates, are Rb at (0.228, 0.250, 0.435), Sm at (0.272, 0.250, 0.951), Si at (0.281, 0.750, 0.170), S at (0.087, 0.750, 0.319), S at (0.088, 0.750, 0.935) and S at (0.499, 0.501, 0.207).

The value obtained for the uncorrected energy is -5.379 eV per atom. Its calculated density is 3.45 Mg/m³. The calculation puts the total moment at 0.00 μB per cell. As for the crystal system: monoclinic.